1.
! Rb3Nd2TmTe6 PBE relaxed; values from VASP
! Energy relative to the elements, uncorrected in meV/atom: -1389
! ρ in g/cm3: 5.2
! DFT total energy in eV per cell: -52.424
&SYSTEM
  ibrav = 0, nat = 12, ntyp = 4
/
ATOMIC_SPECIES
Tm 168.93 Tm.upf
Te 127.60 Te.upf
Rb 85.47 Rb.upf
Nd 144.24 Nd.upf
CELL_PARAMETERS angstrom
7.961 -0.001 -0.001
-3.980 6.895 -0.001
-1.329 -2.300 8.565
ATOMIC_POSITIONS crystal
Tm 0.000 0.000 0.000
Te 0.933 0.609 0.798
Te 0.391 0.067 0.202
Te 0.745 0.745 0.203
Te 0.255 0.255 0.797
Te 0.067 0.391 0.202
Te 0.609 0.933 0.798
Rb 0.500 0.500 0.500
Rb 0.169 0.831 0.500
Rb 0.831 0.169 0.500
Nd 0.666 0.334 0.000
Nd 0.334 0.666 0.000

---

2.
! Rb4Nd3TmTe8 PBE relaxed; values from VASP
! Energy relative to the elements, uncorrected in meV/atom: -1392
! ρ in g/cm3: 5.2
! DFT total energy in eV per cell: -70.055
&SYSTEM
  ibrav = 0, nat = 16, ntyp = 4
/
ATOMIC_SPECIES
Nd 144.24 Nd.upf
Te 127.60 Te.upf
Tm 168.93 Tm.upf
Rb 85.47 Rb.upf
CELL_PARAMETERS angstrom
-4.228 6.249 -5.299
-7.437 -6.572 -1.817
1.854 1.934 8.823
ATOMIC_POSITIONS crystal
Nd 0.500 0.500 0.000
Nd 0.000 0.500 0.500
Nd 0.500 0.500 0.500
Te 0.735 0.706 0.471
Te 0.771 0.298 0.027
Te 0.771 0.298 0.541
Te 0.257 0.298 0.027
Te 0.229 0.702 0.973
Te 0.743 0.702 0.973
Te 0.229 0.702 0.459
Te 0.265 0.294 0.529
Tm 0.000 0.500 0.000
Rb 0.000 0.000 0.500
Rb 0.000 0.000 0.000
Rb 0.500 0.000 0.000
Rb 0.500 0.000 0.500

---

3.
! Rb3NdTm3Te8 PBE relaxed; values from VASP
! Energy relative to the elements, uncorrected in meV/atom: -1300
! ρ in g/cm3: 5.4
! DFT total energy in eV per cell: -65.711
&SYSTEM
  ibrav = 0, nat = 15, ntyp = 4
/
ATOMIC_SPECIES
Rb 85.47 Rb.upf
Te 127.60 Te.upf
Tm 168.93 Tm.upf
Nd 144.24 Nd.upf
CELL_PARAMETERS angstrom
-8.644 -0.476 1.644
4.872 -7.347 -0.126
1.219 5.963 8.134
ATOMIC_POSITIONS crystal
Rb 0.000 0.500 0.000
Rb 0.500 0.500 0.000
Rb 0.000 0.000 0.000
Te 0.240 0.481 0.701
Te 0.279 0.039 0.299
Te 0.721 0.961 0.701
Te 0.732 0.465 0.697
Te 0.760 0.519 0.299
Te 0.268 0.535 0.303
Te 0.759 0.039 0.299
Te 0.241 0.961 0.701
Tm 0.500 0.500 0.500
Tm 0.500 0.000 0.500
Tm 0.000 0.500 0.500
Nd 0.000 0.000 0.500

---

4.
! Rb3NdTm2Te6 PBE relaxed; values from VASP
! Energy relative to the elements, uncorrected in meV/atom: -1372
! ρ in g/cm3: 5.5
! DFT total energy in eV per cell: -51.924
&SYSTEM
  ibrav = 0, nat = 12, ntyp = 4
/
ATOMIC_SPECIES
Tm 168.93 Tm.upf
Rb 85.47 Rb.upf
Te 127.60 Te.upf
Nd 144.24 Nd.upf
CELL_PARAMETERS angstrom
-4.566 -5.012 3.984
5.758 3.869 3.703
-5.826 6.748 -0.778
ATOMIC_POSITIONS crystal
Tm 0.333 0.667 0.000
Tm 0.667 0.333 0.000
Rb 0.500 0.500 0.500
Rb 0.836 0.164 0.500
Rb 0.164 0.836 0.500
Te 0.277 0.277 0.801
Te 0.590 0.933 0.800
Te 0.933 0.590 0.800
Te 0.410 0.067 0.200
Te 0.067 0.410 0.200
Te 0.723 0.723 0.199
Nd 0.000 0.000 0.000

---

5.
! Rb3Nd3TmTe8 PBE relaxed; values from VASP
! Energy relative to the elements, uncorrected in meV/atom: -1316
! ρ in g/cm3: 5.0
! DFT total energy in eV per cell: -66.544
&SYSTEM
  ibrav = 0, nat = 15, ntyp = 4
/
ATOMIC_SPECIES
Nd 144.24 Nd.upf
Te 127.60 Te.upf
Rb 85.47 Rb.upf
Tm 168.93 Tm.upf
CELL_PARAMETERS angstrom
-7.483 4.987 -0.796
-0.621 -8.975 0.800
2.514 5.136 8.547
ATOMIC_POSITIONS crystal
Nd 0.500 0.500 0.500
Nd 0.500 0.000 0.500
Nd 0.000 0.500 0.500
Te 0.743 0.971 0.700
Te 0.264 0.529 0.293
Te 0.736 0.471 0.707
Te 0.228 0.971 0.700
Te 0.772 0.543 0.300
Te 0.772 0.029 0.300
Te 0.228 0.457 0.700
Te 0.257 0.029 0.300
Rb 0.500 0.500 0.000
Rb 0.000 0.000 0.000
Rb 0.000 0.500 0.000
Tm 0.000 0.000 0.500

---

6.
! Rb4NdU3Te8 PBE relaxed; values from VASP
! Energy relative to the elements, uncorrected in meV/atom: -971
! ρ in g/cm3: 5.9
! DFT total energy in eV per cell: -83.180
&SYSTEM
  ibrav = 0, nat = 16, ntyp = 4
/
ATOMIC_SPECIES
Te 127.60 Te.upf
Rb 85.47 Rb.upf
Nd 144.24 Nd.upf
U 238.03 U.upf
CELL_PARAMETERS angstrom
-7.763 -0.412 4.794
2.339 -9.358 2.984
6.116 6.550 1.766
ATOMIC_POSITIONS crystal
Te 0.763 0.296 0.526
Te 0.266 0.299 0.532
Te 0.237 0.704 0.474
Te 0.237 0.704 0.967
Te 0.730 0.704 0.967
Te 0.734 0.701 0.468
Te 0.270 0.296 0.033
Te 0.763 0.296 0.033
Rb 0.000 0.000 0.500
Rb 0.000 0.000 0.000
Rb 0.500 0.000 0.000
Rb 0.500 0.000 0.500
Nd 0.000 0.500 0.000
U 0.000 0.500 0.500
U 0.500 0.500 0.000
U 0.500 0.500 0.500

---

7.
! Rb2Nd2UTe6 PBE relaxed; values from VASP
! Energy relative to the elements, uncorrected in meV/atom: -1188
! ρ in g/cm3: 5.2
! DFT total energy in eV per cell: -54.674
&SYSTEM
  ibrav = 0, nat = 11, ntyp = 4
/
ATOMIC_SPECIES
Te 127.60 Te.upf
Rb 85.47 Rb.upf
U 238.03 U.upf
Nd 144.24 Nd.upf
CELL_PARAMETERS angstrom
-3.658 -3.869 -5.780
5.907 -3.449 3.868
-6.471 -0.774 6.450
ATOMIC_POSITIONS crystal
Te 0.392 0.070 0.701
Te 0.070 0.392 0.701
Te 0.746 0.746 0.699
Te 0.608 0.930 0.299
Te 0.930 0.608 0.299
Te 0.254 0.254 0.301
Rb 0.830 0.170 0.000
Rb 0.170 0.830 0.000
U 0.000 0.000 0.500
Nd 0.333 0.667 0.500
Nd 0.667 0.333 0.500

---

8.
! Rb2NdUTe4 PBE relaxed; values from VASP
! Energy relative to the elements, uncorrected in meV/atom: -1112
! ρ in g/cm3: 5.6
! DFT total energy in eV per cell: -39.453
&SYSTEM
  ibrav = 0, nat = 8, ntyp = 4
/
ATOMIC_SPECIES
Nd 144.24 Nd.upf
Te 127.60 Te.upf
U 238.03 U.upf
Rb 85.47 Rb.upf
CELL_PARAMETERS angstrom
4.608 0.000 0.000
0.000 7.967 0.138
0.000 -2.813 8.539
ATOMIC_POSITIONS crystal
Nd 0.500 0.500 0.000
Te 0.500 0.230 0.203
Te 0.500 0.770 0.797
Te 0.000 0.739 0.205
Te 0.000 0.261 0.795
U 0.000 0.000 0.000
Rb 0.000 0.500 0.500
Rb 0.500 0.000 0.500